{"formula": "YNbIO4", "functional": "PBE", "state": "relaxed", "lattice": [[0.763, -6.890, 1.619], [5.562, -4.094, -1.723], [3.946, 0.113, 5.762]], "species": ["O", "Y", "O", "I", "Nb", "Nb", "O", "O", "O", "O", "O", "O", "Y", "I"], "fractional_positions": [[0.472, 0.472, 0.806], [0.293, 0.293, 0.841], [0.097, 0.540, 0.122], [0.032, 0.032, 0.302], [0.623, 0.623, 0.755], [0.377, 0.377, 0.245], [0.540, 0.097, 0.122], [0.318, 0.318, 0.517], [0.903, 0.460, 0.878], [0.528, 0.528, 0.194], [0.682, 0.682, 0.483], [0.460, 0.903, 0.878], [0.707, 0.707, 0.159], [0.968, 0.968, 0.698]], "sg": "C2/m, No. 12", "formation_energy_uncorrected_ev_per_atom": -2.478, "e_tot_ry_per_atom": -0.58023, "magmom_total_mub_per_atom": 0.000}